Record 1
A plane-wave DFT calculation with PBE-GGA was carried out for a relaxed structure of Pm3GaS2.

Cell and atoms, written as POSCAR:
```
Pm3GaS2
1.0
3.897 -0.121 -1.013
-0.469 5.275 -2.434
-0.197 0.104 7.241
Pm S Ga
3 2 1
Cartesian
1.714 2.577 -1.723
0.530 0.936 1.928
2.701 4.321 1.867
0.268 3.524 0.608
2.963 1.734 3.187
1.948 -0.060 -0.506
```

Output
- E_form (uncorrected) (eV per atom) = -1.563
- symmetry = Immm


Record 2
A plane-wave DFT calculation with PBE-GGA was carried out for a relaxed structure of ZrBe3Cu.

Cell and atoms, written as POSCAR:
```
ZrBe3Cu
1.0
4.005 0.000 0.000
0.000 4.005 0.000
0.000 0.000 4.005
Be Zr Cu
3 1 1
Cartesian
0.000 2.003 0.000
0.000 0.000 2.003
2.003 0.000 0.000
2.003 2.003 2.003
0.000 0.000 0.000
```

Output
- symmetry = Pm-3m
- excess energy over the best structure of this formula in the dataset (meV per atom) = 0.0


Record 3
A plane-wave DFT calculation with PBE-GGA was carried out for a relaxed structure of Pu2In5Sn.

Cell and atoms, written as POSCAR:
```
Pu2In5Sn
1.0
-3.734 -0.941 2.559
-0.553 -5.876 -2.967
7.711 -5.403 9.263
In Pu Sn
10 4 2
Cartesian
-1.294 -5.653 0.210
1.912 -1.422 2.266
5.505 -6.907 5.492
0.848 -4.022 3.934
1.653 -4.372 0.804
2.576 -8.198 4.921
4.718 -6.567 8.645
0.000 0.000 0.000
5.246 -9.858 4.030
3.579 -5.640 3.148
0.633 -6.999 2.527
-1.079 -2.668 1.622
2.791 -5.221 6.328
4.503 -9.553 7.233
-0.277 -2.938 -1.484
3.855 -2.702 4.631
```

Output
- VASP energy (eV per atom) = -6.055
- symmetry = Pbam